No. 1
Density functional theory data (SCAN) for LiZnHg4 at its PBEsol-relaxed geometry.

Computed properties:
**Spin magnetization**: 0.000 μB per formula unit
**Density of states at the Fermi level**: 12.6 states/eV per cell
**Energy relative to the elements**: 140 meV per atom

```
data_LiZnHg4
_cell_length_a 8.253
_cell_length_b 8.253
_cell_length_c 8.253
_cell_angle_alpha 90.00
_cell_angle_beta 90.00
_cell_angle_gamma 90.00
_symmetry_space_group_name_H-M 'F -4 3 m'
_symmetry_Int_Tables_number 216
_symmetry_space_group_name_Hall 'F -4 2 3'
loop_
_atom_site_label
_atom_site_fract_x
_atom_site_fract_y
_atom_site_fract_z
_atom_site_occupancy
Li1 0.000 0.000 0.000 1
Zn1 0.250 0.250 0.750 1
Hg1 0.125 0.125 0.375 1
```



No. 2
Density functional theory data (SCAN) for LiZnHg at its PBEsol-relaxed geometry.

Computed properties:
**Relative energy among the computed polymorphs**: 0.07 kcal/mol of atoms
**Spin magnetization**: 0.000 μB per formula unit
**Density of states at the Fermi level**: 1.7 states/eV per cell
**Energy relative to the elements**: -252 meV per atom

```
data_LiZnHg
_cell_length_a 3.365
_cell_length_b 3.416
_cell_length_c 8.526
_cell_angle_alpha 90.00
_cell_angle_beta 90.00
_cell_angle_gamma 90.00
_symmetry_space_group_name_H-M 'I m m 2'
_symmetry_Int_Tables_number 44
loop_
_symmetry_equiv_pos_as_xyz
'x,y,z'
'-x,-y,z'
'-x,y,z'
'x,-y,z'
'x+1/2,y+1/2,z+1/2'
'-x+1/2,-y+1/2,z+1/2'
'-x+1/2,y+1/2,z+1/2'
'x+1/2,-y+1/2,z+1/2'
loop_
_atom_site_label
_atom_site_fract_x
_atom_site_fract_y
_atom_site_fract_z
_atom_site_occupancy
Li1 0.000 0.000 0.000 1
Zn1 0.000 0.000 0.343 1
Hg1 0.000 0.000 0.666 1
```



No. 3
Density functional theory data (SCAN) for LiZn2Hg at its PBEsol-relaxed geometry.

Computed properties:
**Spin magnetization**: 0.000 μB per formula unit
**Density of states at the Fermi level**: 1.1 states/eV per cell
**Energy relative to the elements**: -130 meV per atom

```
data_LiZn2Hg
_cell_length_a 2.964
_cell_length_b 4.602
_cell_length_c 4.855
_cell_angle_alpha 90.00
_cell_angle_beta 92.46
_cell_angle_gamma 90.00
_symmetry_space_group_name_H-M 'P 1 2/m 1'
_symmetry_Int_Tables_number 10
loop_
_symmetry_equiv_pos_as_xyz
'x,y,z'
'-x,-y,-z'
'-x,y,-z'
'x,-y,z'
loop_
_atom_site_label
_atom_site_fract_x
_atom_site_fract_y
_atom_site_fract_z
_atom_site_occupancy
Li1 0.000 0.000 0.000 1
Zn1 0.304 0.500 0.228 1
Hg1 0.500 0.000 0.500 1
```



No. 4
Density functional theory data (SCAN) for LiZnHg at its PBEsol-relaxed geometry.

Computed properties:
**Relative energy among the computed polymorphs**: 0.00 kcal/mol of atoms
**Spin magnetization**: 0.000 μB per formula unit
**Density of states at the Fermi level**: 0.8 states/eV per cell
**Energy relative to the elements**: -255 meV per atom

```
data_LiZnHg
_cell_length_a 4.5633
_cell_length_b 4.5633
_cell_length_c 2.9081
_cell_angle_alpha 90.00
_cell_angle_beta 90.00
_cell_angle_gamma 120.00
_symmetry_space_group_name_H-M 'P -6 m 2'
_symmetry_Int_Tables_number 187
_symmetry_space_group_name_Hall 'P -6 2'
loop_
_atom_site_label
_atom_site_fract_x
_atom_site_fract_y
_atom_site_fract_z
_atom_site_occupancy
Li1 0.0000 0.0000 0.0000 1
Zn1 0.3333 0.6667 0.5000 1
Hg1 0.6667 0.3333 0.5000 1
```



No. 5
Density functional theory data (SCAN) for Li4ZnHg at its PBEsol-relaxed geometry.

Computed properties:
**Spin magnetization**: 0.497 μB per formula unit
**Density of states at the Fermi level**: 8.3 states/eV per cell
**Energy relative to the elements**: -93 meV per atom

```
data_Li4ZnHg
_cell_length_a 7.141
_cell_length_b 7.141
_cell_length_c 7.141
_cell_angle_alpha 90.00
_cell_angle_beta 90.00
_cell_angle_gamma 90.00
_symmetry_space_group_name_H-M 'F -4 3 m'
_symmetry_Int_Tables_number 216
_symmetry_space_group_name_Hall 'F -4 2 3'
loop_
_atom_site_label
_atom_site_fract_x
_atom_site_fract_y
_atom_site_fract_z
_atom_site_occupancy
Li1 0.125 0.125 0.125 1
Zn1 0.000 0.000 0.500 1
Hg1 0.250 0.250 0.750 1
```



No. 6
Density functional theory data (SCAN) for Li3ZnHg at its PBEsol-relaxed geometry.

Computed properties:
**Spin magnetization**: 0.000 μB per formula unit
**Density of states at the Fermi level**: 2.0 states/eV per cell
**Energy relative to the elements**: 93 meV per atom

```
data_Li3ZnHg
_cell_length_a 4.680
_cell_length_b 4.680
_cell_length_c 4.680
_cell_angle_alpha 90.00
_cell_angle_beta 90.00
_cell_angle_gamma 90.00
_symmetry_space_group_name_H-M 'P m -3 m'
_symmetry_Int_Tables_number 221
_symmetry_space_group_name_Hall '-P 4 2 3'
loop_
_atom_site_label
_atom_site_fract_x
_atom_site_fract_y
_atom_site_fract_z
_atom_site_occupancy
Li1 0.000 0.000 0.500 1
Zn1 0.000 0.000 0.000 1
Hg1 0.500 0.500 0.500 1
```



Question: Which of these has the lowest energy relative to the elements?
Answer: number 4



Question: density of states at the Fermi level of number 2 (LiZnHg)?
Answer: 1.7 states/eV per cell